VASP calculation (PBE with a Hubbard U) on an optimized crystal structure of Na2GeMoO6.

abc: 5.4070 5.4070 3.8656
angles: 90.00 90.00 90.00
Last column: nearest neighbours and their distance in Å.
Space group P4/mmm (No. 123)
Symmetry-distinct sites (fractional):
Na (0.0000, 0.5000, 0.0000) [2 per cell]  12 O 2.70-2.72
Ge (0.0000, 0.0000, 0.5000) [1 per cell]  6 O 1.91-1.93
Mo (0.5000, 0.5000, 0.5000) [1 per cell]  6 O 1.91-1.93
O (0.0000, 0.0000, 0.0000) [1 per cell]  2 Ge 1.93
O (0.2499, 0.2499, 0.5000) [4 per cell]  1 Ge 1.91, 1 Mo 1.91
O (0.5000, 0.5000, 0.0000) [1 per cell]  2 Mo 1.93

Values from the calculation:
raw total energy: -6.03 eV per atom
M_tot: 0.0000 μB per atom



VASP calculation (PBE with a Hubbard U) on an optimized crystal structure of NaGeMoO5.

abc: 6.9186 9.0389 7.4643
angles: 90.00 114.88 90.00
Last column: nearest neighbours and their distance in Å.
Space group C2/c (No. 15)
Symmetry-distinct sites (fractional):
Na (0.0000, 0.1731, 0.2500) [4 per cell]  5 O 2.41-2.53
Ge (0.0000, 0.1856, 0.7500) [4 per cell]  4 O 1.77-1.78
Mo (0.0000, 0.5000, 0.0000) [4 per cell]  6 O 1.94-2.04
O (0.0000, 0.4395, 0.2500) [4 per cell]  2 Mo 1.94
O (0.0997, 0.2936, 0.6089) [8 per cell]  1 Ge 1.78
O (0.1951, 0.0601, 0.9048) [8 per cell]  1 Ge 1.77

Values from the calculation:
raw total energy: -6.45 eV per atom
M_tot: 0.1250 μB per atom



VASP calculation (PBE with a Hubbard U) on an optimized crystal structure of NaGe2MoO8.

abc: 6.4853 6.7283 6.1428
angles: 90.00 90.00 90.00
Last column: nearest neighbours and their distance in Å.
Space group Cmmm (No. 65)
Symmetry-distinct sites (fractional):
Na (0.0000, 0.0000, 0.0000) [2 per cell]  6 O 2.20-2.28
Ge (0.0000, 0.5000, 0.2591) [4 per cell]  6 O 1.90-1.97
Mo (0.0000, 0.0000, 0.5000) [2 per cell]  6 O 1.90-2.07
O (0.0000, 0.3073, 0.5000) [4 per cell]  2 Ge 1.97, 1 Mo 2.07
O (0.0000, 0.3395, 0.0000) [4 per cell]  2 Ge 1.92
O (0.2084, 0.0000, 0.2834) [8 per cell]  1 Mo 1.90, 1 Ge 1.90

Values from the calculation:
raw total energy: -6.15 eV per atom
M_tot: 0.0837 μB per atom



VASP calculation (PBE with a Hubbard U) on an optimized crystal structure of NaGe2MoO.

abc: 4.9494 4.9494 5.2661
angles: 90.00 90.00 90.00
Last column: nearest neighbours and their distance in Å.
Space group P4/mmm (No. 123)
Symmetry-distinct sites (fractional):
Na (0.0000, 0.0000, 0.0000) [1 per cell]  4 Ge 2.47, 2 Mo 2.63
Ge (0.0000, 0.5000, 0.0000) [2 per cell]  2 Na 2.47
Mo (0.0000, 0.0000, 0.5000) [1 per cell]  2 Na 2.63
O (0.5000, 0.5000, 0.5000) [1 per cell]  4 Mo 3.50, 8 Ge 3.61

Values from the calculation:
raw total energy: -2.81 eV per atom
M_tot: 0.8765 μB per atom



VASP calculation (PBE with a Hubbard U) on an optimized crystal structure of NaGeMo2O8.

abc: 5.7521 5.7521 6.5209
angles: 90.00 90.00 120.00
Last column: nearest neighbours and their distance in Å.
Space group P-3 (No. 147)
Symmetry-distinct sites (fractional):
Na (0.0000, 0.0000, 0.0000) [1 per cell]  6 O 2.57
Ge (0.0000, 0.0000, 0.5000) [1 per cell]  6 O 1.99
Mo (0.3333, 0.6667, 0.7695) [2 per cell]  4 O 1.74-1.83
O (0.1555, 0.3146, 0.6869) [6 per cell]  1 Mo 1.83, 1 Ge 1.99
O (0.3333, 0.6667, 0.0364) [2 per cell]  1 Mo 1.74

Values from the calculation:
raw total energy: -6.50 eV per atom
M_tot: 0.0778 μB per atom



VASP calculation (PBE with a Hubbard U) on an optimized crystal structure of NaGe2MoO6.

abc: 10.0343 9.6483 5.2719
angles: 90.00 97.74 90.00
Last column: nearest neighbours and their distance in Å.
Space group C2/c (No. 15)
Symmetry-distinct sites (fractional):
Na (0.0000, 0.0840, 0.2500) [4 per cell]  6 O 2.31-2.36
Ge (0.2009, 0.4036, 0.2850) [8 per cell]  4 O 1.71-1.87
Mo (0.0000, 0.2789, 0.7500) [4 per cell]  6 O 2.12-2.30
O (0.1158, 0.2713, 0.1174) [8 per cell]  1 Ge 1.71
O (0.1251, 0.1115, 0.6501) [8 per cell]  1 Ge 1.74
O (0.1447, 0.4355, 0.6035) [8 per cell]  2 Ge 1.87

Values from the calculation:
raw total energy: -6.40 eV per atom
M_tot: 0.3000 μB per atom



- Look up the M_tot of the fourth one.
  0.8765 μB per atom